## KCoPH2O5 (GGA+U)

Data for a geometry-optimized KCoPH2O5 structure.

## Properties
Final energy: -5.8933 eV per atom
ΔE to the lowest computed polymorph: 0.000 kcal/mol of atoms

```
KCoPH2O5
1.0
5.5573 0.0000 0.0000
0.0000 8.1646 0.0000
0.0000 0.0000 4.7327
K Co P H O
2 2 2 4 10
direct
0.0000 0.0422 0.0000 K
0.5000 0.9578 0.5000 K
0.0000 0.4827 0.8742 Co
0.5000 0.5173 0.3742 Co
0.0000 0.7161 0.4431 P
0.5000 0.2839 0.9431 P
0.1421 0.3009 0.4503 H
0.3579 0.6991 0.9503 H
0.6421 0.6991 0.9503 H
0.8579 0.3009 0.4503 H
0.0000 0.2839 0.5723 O
0.0000 0.6873 0.1221 O
0.0000 0.8993 0.5066 O
0.2225 0.6286 0.5865 O
0.2775 0.3714 0.0865 O
0.5000 0.1007 0.0066 O
0.5000 0.3127 0.6221 O
0.5000 0.7161 0.0723 O
0.7225 0.3714 0.0865 O
0.7775 0.6286 0.5865 O
```